VASP calculation (PBE) on crystalline PaNbSn2 at its relaxed geometry.

Results
DFT formation energy in eV per atom: -0.07
Crystal system: tetragonal

Cell lengths 3.6884, 3.6884, 6.7136 Å; angles 90.00, 90.00, 90.00 degrees
With the nearest neighbours (Å) after each atom.
Positions (direct):
Sn1 0.0000 0.0000 0.2193  1 Sn 2.94, 4 Nb 2.99, 4 Pa 3.22
Sn2 0.0000 0.0000 0.7807  1 Sn 2.94, 4 Nb 2.99, 4 Pa 3.22
Pa1 0.5000 0.5000 0.5000  8 Sn 3.22, 2 Nb 3.36
Nb1 0.5000 0.5000 0.0000  8 Sn 2.99